(1)
# PmY2Mg5

Crystalline PmY2Mg5 at its relaxed geometry (PBE, Alexandria via LeMat-Bulk).

a = 5.286 Å, b = 5.286 Å, c = 8.475 Å
α = 108.17°, β = 108.17°, γ = 90.00°
Fractional positions:
Mg: 0.379 0.879 0.757
Mg: 0.500 0.500 0.000
Mg: 0.621 0.121 0.243
Mg: 0.121 0.621 0.243
Mg: 0.879 0.379 0.757
Y: 0.258 0.258 0.517
Y: 0.742 0.742 0.483
Pm: 0.000 0.000 0.000

Output
As for the crystal system: tetragonal. The total energy is -3.31 eV/atom. The energy of formation comes out at -102 meV per atom. The volume comes out at 26.6 Å³ per atom.

---

(2)
# Pm6Er2Tm3

Crystalline Pm6Er2Tm3 at its relaxed geometry (PBE, Alexandria via LeMat-Bulk).

a = 4.744 Å, b = 4.744 Å, c = 17.076 Å
α = 97.98°, β = 97.98°, γ = 90.00°
Fractional positions:
Er: 0.455 0.455 0.909
Er: 0.545 0.545 0.091
Pm: 0.701 0.701 0.402
Pm: 0.299 0.299 0.598
Pm: 0.880 0.380 0.759
Pm: 0.620 0.120 0.241
Pm: 0.380 0.880 0.759
Pm: 0.120 0.620 0.241
Tm: 0.197 0.197 0.394
Tm: 0.000 0.000 0.000
Tm: 0.803 0.803 0.606

Output
As for the crystal system: tetragonal. The total energy is -4.33 eV/atom. The energy of formation comes out at 307 meV per atom. The volume comes out at 34.2 Å³ per atom.

---

(3)
# DyY4Er8

Crystalline DyY4Er8 at its relaxed geometry (PBE, Alexandria via LeMat-Bulk).

a = 7.284 Å, b = 7.284 Å, c = 9.887 Å
α = 90.00°, β = 111.62°, γ = 120.00°
Fractional positions:
Er: 0.434 0.217 0.651
Er: 0.058 0.808 0.308
Er: 0.566 0.783 0.349
Er: 0.942 0.192 0.692
Er: 0.500 0.250 0.308
Er: 0.942 0.750 0.692
Er: 0.500 0.750 0.692
Er: 0.058 0.250 0.308
Dy: 0.000 0.500 0.500
Y: 0.500 0.000 0.000
Y: 0.000 0.000 0.000
Y: 0.000 0.500 0.000
Y: 0.500 0.500 0.000

Output
As for the crystal system: trigonal. The total energy is -4.93 eV/atom. The energy of formation comes out at 223 meV per atom. The volume comes out at 31.6 Å³ per atom.

---

Question: Number 2 is which compound?
Answer: Pm6Er2Tm3

---

Question: Which of these has the highest energy of formation?
Answer: Pm6Er2Tm3

---

Question: Among the records above, which one has the lowest energy of formation?
Answer: PmY2Mg5